1 | Nd2Dy12Ho5: relaxed, PBE.

Cell: 15.7525 9.2120 8.5196 Å, 90.00 91.04 90.00°
Last column: nearest neighbours and their distance in Å.
Space group C2/m (No. 12)
Asymmetric unit:
Nd 0.0000 0.1832 0.0000  1 Nd 3.38, 8 Dy 3.39-3.59, 2 Ho 3.54
Dy 0.0583 0.0000 0.3305  2 Ho 3.39-3.53, 2 Nd 3.39, 7 Dy 3.41-3.45
Dy 0.0932 0.5000 0.8827  3 Ho 3.40-3.55, 2 Nd 3.42, 5 Dy 3.49-3.62
Dy 0.1263 0.1917 0.6538  4 Ho 3.36-3.69, 6 Dy 3.41-3.72, 1 Nd 3.59
Dy 0.1563 0.3192 0.2440  5 Dy 3.33-3.72, 1 Nd 3.43, 4 Ho 3.47-3.71
Ho 0.0000 0.5000 0.5000  10 Dy 3.55-3.71, 2 Ho 3.69
Ho 0.1976 0.0000 0.0099  8 Dy 3.40-3.67, 2 Nd 3.54, 1 Ho 3.68
Ho 0.2317 0.5000 0.5755  10 Dy 3.36-3.74, 2 Ho 3.68-3.69

V in Å³/cell: 1236.1


2 | Nd2Dy12Ho5: relaxed, PBE.

Cell: 6.7371 8.7751 11.3505 Å, 111.06 92.42 100.55°
Last column: nearest neighbours and their distance in Å.
Space group P-1 (No. 2)
Asymmetric unit:
Nd 0.1567 0.3836 0.0707  9 Dy 3.40-3.78, 3 Ho 3.49-3.66
Dy 0.1194 0.7801 0.2477  6 Dy 3.33-3.67, 2 Nd 3.40-3.65, 4 Ho 3.45-3.62
Dy 0.1556 0.9769 0.8663  3 Ho 3.40-3.58, 6 Dy 3.42-3.71, 2 Nd 3.49-3.78
Dy 0.1664 0.5722 0.6853  6 Dy 3.31-3.67, 3 Ho 3.32-3.62, 1 Nd 3.55
Dy 0.3385 0.5548 0.4126  6 Dy 3.28-3.62, 1 Ho 3.61
Dy 0.3816 0.1401 0.2326  4 Ho 3.39-3.77, 5 Dy 3.39-3.59, 1 Nd 3.74
Dy 0.3865 0.3060 0.7740  2 Ho 3.27-3.52, 5 Dy 3.28-3.55, 2 Nd 3.61-3.66
Ho 0.0467 0.1803 0.4616  8 Dy 3.39-3.78, 2 Ho 3.53-3.76
Ho 0.3799 0.7366 0.9851  7 Dy 3.27-3.64, 3 Nd 3.49-3.66
Ho 0.5000 0.0000 0.5000  8 Dy 3.48-3.77, 4 Ho 3.76-3.84

V in Å³/cell: 611.3


Decreasing stability: 2, 1


1 | NdDy2Ho8: relaxed, PBE.

Cell: 5.4755 8.0828 15.9208 Å, 90.00 90.00 90.00°
Last column: nearest neighbours and their distance in Å.
Space group Immm (No. 71)
Asymmetric unit:
Nd 0.0000 0.0000 0.0000  8 Ho 3.25-3.63
Dy 0.0000 0.0000 0.3005  10 Ho 3.35-3.58
Ho 0.0000 0.2051 0.5000  7 Ho 3.32-3.53, 2 Dy 3.58, 2 Nd 3.63
Ho 0.0000 0.2931 0.1397  1 Nd 3.25, 4 Ho 3.34-3.56, 3 Dy 3.35-3.49
Ho 0.0000 0.5000 0.3368  2 Dy 3.50, 8 Ho 3.53-3.64, 2 Nd 3.77

V in Å³/cell: 704.6


2 | NdDy2Ho8: relaxed, PBE.

Cell: 19.0470 6.9163 5.5095 Å, 90.00 92.86 90.00°
Last column: nearest neighbours and their distance in Å.
Space group C2/m (No. 12)
Asymmetric unit:
Nd 0.0000 0.0000 0.0000  10 Ho 3.52-3.79
Dy 0.2157 0.5000 0.2502  11 Ho 3.21-3.57
Ho 0.0470 0.5000 0.2378  1 Ho 3.10, 1 Dy 3.21
Ho 0.1332 0.2664 0.7322  4 Ho 3.23-3.51, 3 Dy 3.41-3.57, 1 Nd 3.52
Ho 0.1882 0.0000 0.2335  4 Dy 3.30-3.50, 4 Ho 3.44-3.51

V in Å³/cell: 724.9


Decreasing stability: 1, 2


1 | Nd5Dy2Ho12: relaxed, PBE.

Cell: 6.1747 9.4459 10.7004 Å, 101.03 95.59 90.04°
Last column: nearest neighbours and their distance in Å.
Space group P-1 (No. 2)
Asymmetric unit:
Nd 0.0000 0.0000 0.0000  10 Ho 3.56-3.58, 2 Nd 3.57
Nd 0.1582 0.6315 0.9465  10 Ho 3.56-3.59, 2 Nd 3.57-3.58
Nd 0.2631 0.0529 0.5789  2 Nd 3.56-3.57, 8 Ho 3.56-3.59, 2 Dy 3.59
Dy 0.4198 0.6820 0.5263  1 Dy 3.53, 9 Ho 3.54-3.57, 2 Nd 3.59
Ho 0.0544 0.2126 0.3168  6 Ho 3.54-3.60, 2 Dy 3.56, 4 Nd 3.56-3.59
Ho 0.1043 0.4216 0.6307  7 Ho 3.54-3.59, 3 Dy 3.54-3.57, 2 Nd 3.56-3.57
Ho 0.2111 0.8407 0.2631  6 Ho 3.55-3.60, 5 Nd 3.56-3.58, 1 Dy 3.57
Ho 0.3173 0.2632 0.8950  7 Ho 3.55-3.59, 5 Nd 3.56-3.58
Ho 0.3693 0.4734 0.2121  2 Dy 3.54, 7 Ho 3.55-3.57, 3 Nd 3.56-3.59
Ho 0.4742 0.8940 0.8416  7 Ho 3.56-3.58, 4 Nd 3.56-3.57, 1 Dy 3.56

V in Å³/cell: 609.5


2 | Nd5Dy2Ho12: relaxed, PBE.

Cell: 18.3206 7.0325 10.4050 Å, 90.00 111.13 90.00°
Last column: nearest neighbours and their distance in Å.
Space group C2/m (No. 12)
Asymmetric unit:
Nd 0.0000 0.0000 0.0000  2 Ho 2.83
Nd 0.1805 0.5000 0.7104  2 Nd 3.54, 2 Dy 3.62, 9 Ho 3.65-3.93
Nd 0.1872 0.0000 0.6813  5 Ho 3.27-3.56, 2 Nd 3.54
Dy 0.0000 0.2720 0.5000  2 Ho 3.10, 1 Dy 3.21
Ho 0.0018 0.5000 0.1752  7 Ho 3.35-3.68, 2 Dy 3.75
Ho 0.0254 0.0000 0.7469  1 Nd 2.83, 2 Dy 3.10
Ho 0.1580 0.2472 0.3686  6 Ho 3.35-3.64, 2 Nd 3.54-3.56, 1 Dy 3.62
Ho 0.1634 0.2527 0.0218  6 Ho 3.37-3.64, 3 Nd 3.42-3.74

V in Å³/cell: 1250.5


Decreasing stability: 1, 2


1 | Nd3Dy8Ho2: relaxed, PBE.

Cell: 22.8232 5.5724 6.7885 Å, 90.00 102.04 90.00°
Last column: nearest neighbours and their distance in Å.
Space group C2/m (No. 12)
Asymmetric unit:
Nd 0.0000 0.0000 0.0000  4 Nd 3.39, 2 Dy 3.57
Nd 0.0115 0.5000 0.2892  1 Nd 3.02, 1 Dy 3.24
Dy 0.0771 0.0000 0.5939  6 Dy 3.49-3.85, 1 Ho 3.50, 5 Nd 3.57-3.63
Dy 0.1227 0.5000 0.9877  2 Nd 3.24-3.58, 1 Ho 3.35, 4 Dy 3.45-3.59
Dy 0.1681 0.5000 0.5270  7 Dy 3.34-3.59, 3 Ho 3.52-3.61, 1 Nd 3.60
Dy 0.1783 0.0000 0.2655  6 Dy 3.34-3.53, 4 Ho 3.51-3.66
Ho 0.2300 0.0000 0.8138  9 Dy 3.35-3.66, 2 Ho 3.74

V in Å³/cell: 844.4


2 | Nd3Dy8Ho2: relaxed, PBE.

Cell: 20.0634 7.7152 5.6537 Å, 90.00 90.04 90.00°
Last column: nearest neighbours and their distance in Å.
Space group C2/m (No. 12)
Asymmetric unit:
Nd 0.0000 0.0000 0.0000  4 Dy 3.14
Nd 0.0000 0.2921 0.5000  1 Nd 3.21, 6 Dy 3.53-3.58
Dy 0.1093 0.2912 0.0002  1 Nd 3.14, 3 Dy 3.22-3.49, 2 Ho 3.40-3.47
Dy 0.1355 0.0000 0.4996  2 Ho 3.53-3.54, 4 Nd 3.53-3.93, 7 Dy 3.65-3.93
Dy 0.1722 0.5000 0.5009  2 Ho 3.32, 4 Dy 3.49
Ho 0.2414 0.0000 0.9989  8 Dy 3.32-3.54

V in Å³/cell: 875.2


Decreasing stability: 1, 2